# 1
A plane-wave DFT calculation with GGA-PBE was carried out for crystalline KSr3C at its relaxed geometry.

abc: 6.7729 6.7729 6.7729
angles: 90.00 90.00 90.00
With the nearest neighbours (Å) after each atom.
Fractional positions:
K 0.0000 0.0000 0.0000  6 Sr 3.39
Sr 0.0000 0.0000 0.5000  2 K 3.39
Sr 0.0000 0.5000 0.0000  2 K 3.39
Sr 0.5000 0.0000 0.0000  2 K 3.39
C 0.5000 0.5000 0.5000  12 Sr 4.79

- Polymorph energy (0 for the lowest one): 1705 meV per atom
- Symmetry: Pm-3m, No. 221
- Formation energy from the elements: 2.131 eV/atom



# 2
A plane-wave DFT calculation with GGA-PBE was carried out for crystalline LiPdRh2C at its relaxed geometry.

abc: 3.9588 3.9588 4.1716
angles: 90.00 90.00 90.00
With the nearest neighbours (Å) after each atom.
Fractional positions:
Li 0.0000 0.0000 0.0000  2 C 2.09
Pd 0.5000 0.5000 0.0000  4 Li 2.80, 8 Rh 2.88
Rh 0.0000 0.5000 0.5000  2 C 1.98
Rh 0.5000 0.0000 0.5000  2 C 1.98
C 0.0000 0.0000 0.5000  4 Rh 1.98, 2 Li 2.09

- Polymorph energy (0 for the lowest one): 68 meV per atom
- Symmetry: P4/mmm, No. 123
- Formation energy from the elements: 0.034 eV/atom



# 3
A plane-wave DFT calculation with GGA-PBE was carried out for crystalline LaMgAu2 at its relaxed geometry.

abc: 7.1754 7.1791 3.6246
angles: 90.00 90.16 90.00
With the nearest neighbours (Å) after each atom.
Fractional positions:
La 0.0000 0.0000 0.0000  8 Au 3.12
La 0.5000 0.5000 0.0000  8 Au 3.12
Mg 0.0000 0.5000 0.0000  8 Au 3.12
Mg 0.5000 0.0000 0.0000  8 Au 3.12
Au 0.2500 0.2500 0.5000  4 La 3.12, 4 Mg 3.12
Au 0.2500 0.7500 0.5000  4 La 3.12, 4 Mg 3.12
Au 0.7500 0.2500 0.5000  4 La 3.12, 4 Mg 3.12
Au 0.7500 0.7500 0.5000  4 La 3.12, 4 Mg 3.12

- Symmetry: C2/m, No. 12
- Formation energy from the elements: -0.601 eV/atom



# 4
A plane-wave DFT calculation with GGA-PBE was carried out for crystalline CuPt2Rh6 at its relaxed geometry.

abc: 6.4880 6.4880 9.3418
angles: 103.01 103.01 42.88
With the nearest neighbours (Å) after each atom.
Fractional positions:
Cu 0.0842 0.9158 0.7500  2 Pt 2.68, 10 Rh 2.71-2.75
Cu 0.9158 0.0842 0.2500  2 Pt 2.68, 10 Rh 2.71-2.75
Pt 0.1370 0.3000 0.8045  1 Cu 2.68, 9 Rh 2.72-2.79, 2 Pt 2.76
Pt 0.3000 0.1370 0.3045  1 Cu 2.68, 9 Rh 2.72-2.79, 2 Pt 2.76
Pt 0.7000 0.8630 0.6955  1 Cu 2.68, 9 Rh 2.72-2.79, 2 Pt 2.76
Pt 0.8630 0.7000 0.1955  1 Cu 2.68, 9 Rh 2.72-2.79, 2 Pt 2.76
Rh 0.0210 0.1946 0.0260  7 Rh 2.66-2.78, 2 Cu 2.72, 3 Pt 2.72-2.79
Rh 0.1946 0.0210 0.5260  7 Rh 2.66-2.78, 2 Cu 2.72, 3 Pt 2.72-2.79
Rh 0.2485 0.4203 0.5816  7 Rh 2.68-2.78, 4 Pt 2.72-2.78, 1 Cu 2.72
Rh 0.3675 0.5265 0.3617  8 Rh 2.68-2.77, 2 Cu 2.71-2.75, 2 Pt 2.74-2.79
Rh 0.4203 0.2485 0.0816  7 Rh 2.68-2.78, 4 Pt 2.72-2.78, 1 Cu 2.72
Rh 0.4735 0.6325 0.1383  8 Rh 2.68-2.77, 2 Cu 2.71-2.75, 2 Pt 2.74-2.79
Rh 0.5265 0.3675 0.8617  8 Rh 2.68-2.77, 2 Cu 2.71-2.75, 2 Pt 2.74-2.79
Rh 0.5797 0.7515 0.9184  7 Rh 2.68-2.78, 4 Pt 2.72-2.78, 1 Cu 2.72
Rh 0.6325 0.4735 0.6383  8 Rh 2.68-2.77, 2 Cu 2.71-2.75, 2 Pt 2.74-2.79
Rh 0.7515 0.5797 0.4184  7 Rh 2.68-2.78, 4 Pt 2.72-2.78, 1 Cu 2.72
Rh 0.8054 0.9790 0.4740  7 Rh 2.66-2.78, 2 Cu 2.72, 3 Pt 2.72-2.79
Rh 0.9790 0.8054 0.9740  7 Rh 2.66-2.78, 2 Cu 2.72, 3 Pt 2.72-2.79

- Symmetry: C2/c, No. 15
- Formation energy from the elements: 0.037 eV/atom



# 5
A plane-wave DFT calculation with GGA-PBE was carried out for crystalline LaWAu2 at its relaxed geometry.

abc: 6.1884 8.5732 3.0519
angles: 90.00 90.00 90.00
With the nearest neighbours (Å) after each atom.
Fractional positions:
La 0.0000 0.0000 0.0000  2 La 3.05, 8 Au 3.05, 2 W 3.09
La 0.5000 0.5000 0.0000  2 La 3.05, 8 Au 3.05, 2 W 3.09
W 0.0000 0.5000 0.0000  2 W 3.05, 8 Au 3.05, 2 La 3.09
W 0.5000 0.0000 0.0000  2 W 3.05, 8 Au 3.05, 2 La 3.09
Au 0.2500 0.2500 0.5000  4 Au 3.05-3.09, 4 La 3.05, 4 W 3.05
Au 0.2500 0.7500 0.5000  4 Au 3.05-3.09, 4 La 3.05, 4 W 3.05
Au 0.7500 0.2500 0.5000  4 Au 3.05-3.09, 4 La 3.05, 4 W 3.05
Au 0.7500 0.7500 0.5000  4 Au 3.05-3.09, 4 La 3.05, 4 W 3.05

- Polymorph energy (0 for the lowest one): 63 meV per atom
- Symmetry: Cmmm, No. 65
- Formation energy from the elements: 0.197 eV/atom



# 6
A plane-wave DFT calculation with GGA-PBE was carried out for crystalline ThHSeBr at its relaxed geometry.

abc: 7.0336 4.0612 7.6383
angles: 90.00 107.95 90.00
With the nearest neighbours (Å) after each atom.
Fractional positions:
Th 0.0000 0.0000 0.0000  3 H 2.35
Th 0.5000 0.5000 0.0000  3 H 2.35
H 0.1731 0.5000 0.0195  3 Th 2.35
H 0.6731 0.0000 0.0195  3 Th 2.35
Se 0.2538 0.0000 0.7623  3 Th 2.91, 3 H 3.00
Se 0.7538 0.5000 0.7623  3 Th 2.91, 3 H 3.00
Br 0.4268 0.0000 0.2792  3 H 3.01, 3 Th 3.10
Br 0.9268 0.5000 0.2792  3 H 3.01, 3 Th 3.10

- Symmetry: Cm, No. 8
- E_tot: -43.21 eV per cell



# 7
A plane-wave DFT calculation with GGA-PBE was carried out for crystalline Li12Pr5Sn3 at its relaxed geometry.

abc: 14.2356 14.2356 14.2356
angles: 109.47 109.47 109.47
With the nearest neighbours (Å) after each atom.
Fractional positions:
Li 0.0643 0.6624 0.4185  1 Li 2.34
Li 0.0643 0.9019 0.6457  1 Li 2.34
Li 0.0815 0.7438 0.6457  1 Li 2.34
Li 0.0815 0.8376 0.4357  1 Li 2.34
Li 0.0981 0.2438 0.1624  1 Li 2.34
Li 0.0981 0.3543 0.9357  1 Li 2.34
Li 0.1457 0.2438 0.5815  1 Li 2.34
Li 0.1457 0.4019 0.5643  1 Li 2.34
Li 0.1624 0.0981 0.2438  1 Li 2.34
Li 0.1624 0.5643 0.9185  1 Li 2.34
Li 0.2438 0.1624 0.0981  1 Li 2.34
Li 0.2438 0.5815 0.1457  1 Li 2.34
Li 0.2562 0.3543 0.9185  1 Li 2.34
Li 0.2562 0.4019 0.3376  1 Li 2.34
Li 0.3376 0.2562 0.4019  1 Li 2.34
Li 0.3376 0.5815 0.9357  1 Li 2.34
Li 0.3543 0.9185 0.2562  1 Li 2.34
Li 0.3543 0.9357 0.0981  1 Li 2.34
Li 0.4019 0.3376 0.2562  1 Li 2.34
Li 0.4019 0.5643 0.1457  1 Li 2.34
Li 0.4185 0.0643 0.6624  1 Li 2.34
Li 0.4185 0.8543 0.7562  1 Li 2.34
Li 0.4357 0.0815 0.8376  1 Li 2.34
Li 0.4357 0.8543 0.5981  1 Li 2.34
Li 0.5643 0.1457 0.4019  1 Li 2.34
Li 0.5643 0.9185 0.1624  1 Li 2.34
Li 0.5815 0.1457 0.2438  1 Li 2.34
Li 0.5815 0.9357 0.3376  1 Li 2.34
Li 0.5981 0.4357 0.8543  1 Li 2.34
Li 0.5981 0.6624 0.7438  1 Li 2.34
Li 0.6457 0.0643 0.9019  1 Li 2.34
Li 0.6457 0.0815 0.7438  1 Li 2.34
Li 0.6624 0.4185 0.0643  1 Li 2.34
Li 0.6624 0.7438 0.5981  1 Li 2.34
Li 0.7438 0.5981 0.6624  1 Li 2.34
Li 0.7438 0.6457 0.0815  1 Li 2.34
Li 0.7562 0.4185 0.8543  1 Li 2.34
Li 0.7562 0.8376 0.9019  1 Li 2.34
Li 0.8376 0.4357 0.0815  1 Li 2.34
Li 0.8376 0.9019 0.7562  1 Li 2.34
Li 0.8543 0.5981 0.4357  1 Li 2.34
Li 0.8543 0.7562 0.4185  1 Li 2.34
Li 0.9019 0.6457 0.0643  1 Li 2.34
Li 0.9019 0.7562 0.8376  1 Li 2.34
Li 0.9185 0.1624 0.5643  1 Li 2.34
Li 0.9185 0.2562 0.3543  1 Li 2.34
Li 0.9357 0.0981 0.3543  1 Li 2.34
Li 0.9357 0.3376 0.5815  1 Li 2.34
Pr 0.0000 0.0000 0.0000  6 Li 2.93
Pr 0.0000 0.0000 0.5000  6 Li 2.93
Pr 0.0000 0.5000 0.0000  6 Li 2.93
Pr 0.0000 0.5000 0.5000  6 Li 2.93
Pr 0.1250 0.7500 0.8750  4 Li 3.08
Pr 0.1250 0.8750 0.2500  4 Li 3.08
Pr 0.2500 0.1250 0.8750  4 Li 3.08
Pr 0.2500 0.6250 0.3750  4 Li 3.08
Pr 0.3750 0.2500 0.6250  4 Li 3.08
Pr 0.3750 0.6250 0.7500  4 Li 3.08
Pr 0.5000 0.0000 0.0000  6 Li 2.93
Pr 0.5000 0.0000 0.5000  6 Li 2.93
Pr 0.5000 0.5000 0.0000  6 Li 2.93
Pr 0.5000 0.5000 0.5000  6 Li 2.93
Pr 0.6250 0.3750 0.2500  4 Li 3.08
Pr 0.6250 0.7500 0.3750  4 Li 3.08
Pr 0.7500 0.3750 0.6250  4 Li 3.08
Pr 0.7500 0.8750 0.1250  4 Li 3.08
Pr 0.8750 0.1250 0.7500  4 Li 3.08
Pr 0.8750 0.2500 0.1250  4 Li 3.08
Sn 0.1250 0.2500 0.3750  8 Li 2.68-2.89
Sn 0.1250 0.3750 0.7500  8 Li 2.68-2.89
Sn 0.2500 0.3750 0.1250  8 Li 2.68-2.89
Sn 0.2500 0.8750 0.6250  8 Li 2.68-2.89
Sn 0.3750 0.1250 0.2500  8 Li 2.68-2.89
Sn 0.3750 0.7500 0.1250  8 Li 2.68-2.89
Sn 0.6250 0.2500 0.8750  8 Li 2.68-2.89
Sn 0.6250 0.8750 0.7500  8 Li 2.68-2.89
Sn 0.7500 0.1250 0.3750  8 Li 2.68-2.89
Sn 0.7500 0.6250 0.8750  8 Li 2.68-2.89
Sn 0.8750 0.6250 0.2500  8 Li 2.68-2.89
Sn 0.8750 0.7500 0.6250  8 Li 2.68-2.89

- Symmetry: Ia-3d, No. 230
- Formation energy from the elements: 0.386 eV/atom



# 8
A plane-wave DFT calculation with GGA-PBE was carried out for crystalline RbNa2CdIn at its relaxed geometry.

abc: 6.0441 6.0441 6.9485
angles: 90.00 90.00 90.00
With the nearest neighbours (Å) after each atom.
Fractional positions:
Rb 0.0000 0.0000 0.0000  2 In 3.47
Na 0.0000 0.5000 0.5000  2 In 3.02
Na 0.5000 0.0000 0.5000  2 In 3.02
Cd 0.5000 0.5000 0.0000  4 Rb 4.27, 8 Na 4.60
In 0.0000 0.0000 0.5000  4 Na 3.02

- Polymorph energy (0 for the lowest one): 212 meV per atom
- Symmetry: P4/mmm, No. 123
- Formation energy from the elements: 0.220 eV/atom



> Which formula does entry 6 have?

ThHSeBr